Entry 1:
# Co3SeF

A geometry-optimized Co3SeF structure (GGA+U, Alexandria).

```
Co3SeF
1.0
-3.989 0.809 1.870
-1.951 -2.701 -2.993
0.587 -3.481 2.757
F Co Se
1 3 1
Direct
0.500 0.500 0.500
0.000 0.000 0.500
0.500 0.000 0.000
0.000 0.500 0.000
0.000 0.000 0.000
```

Computed properties:
ΔE to the lowest computed polymorph: 264 meV/atom
D(E_F): 0.54 states/eV per cell



Entry 2:
# CoSeF

A geometry-optimized CoSeF structure (GGA+U, Alexandria).

```
CoSeF
1.0
3.169 0.007 0.472
1.549 6.444 0.305
0.824 3.634 5.216
Co F Se
2 2 2
Direct
0.749 0.265 0.237
0.251 0.735 0.763
0.664 0.652 0.022
0.336 0.348 0.978
0.138 0.179 0.546
0.862 0.821 0.454
```

Computed properties:
ΔE to the lowest computed polymorph: 0 meV/atom



Entry 3:
# Co3SeF

A geometry-optimized Co3SeF structure (GGA+U, Alexandria).

```
Co3SeF
1.0
4.230 0.000 0.000
0.000 4.230 0.000
0.000 0.000 4.230
F Se Co
1 1 3
Direct
0.000 0.000 0.000
0.500 0.500 0.500
0.500 0.000 0.000
0.000 0.000 0.500
0.000 0.500 0.000
```

Computed properties:
ΔE to the lowest computed polymorph: 0 meV/atom
D(E_F): 1.13 states/eV per cell



Entry 4:
# CoSe2F

A geometry-optimized CoSe2F structure (GGA+U, Alexandria).

```
CoSe2F
1.0
-2.993 -0.641 3.076
-3.263 2.822 0.474
-4.037 -1.145 -1.106
Se Co F
2 1 1
Direct
0.750 0.750 0.750
0.250 0.250 0.250
0.500 0.500 0.500
0.000 0.000 0.000
```

Computed properties:
ΔE to the lowest computed polymorph: 236 meV/atom
D(E_F): 1.57 states/eV per cell



Entry 5:
# CoSe2F

A geometry-optimized CoSe2F structure (GGA+U, Alexandria).

```
CoSe2F
1.0
2.120 0.000 6.525
-1.060 1.836 6.525
-1.060 -1.836 6.525
Se F Co
2 1 1
Direct
0.110 0.110 0.110
0.890 0.890 0.890
0.000 0.000 0.000
0.500 0.500 0.500
```

Computed properties:
ΔE to the lowest computed polymorph: 0 meV/atom
D(E_F): 1.42 states/eV per cell



Entry 6:
# CoSe3F

A geometry-optimized CoSe3F structure (GGA+U, Alexandria).

```
CoSe3F
1.0
4.644 0.000 0.000
0.000 4.644 0.000
0.000 0.000 4.644
F Se Co
1 3 1
Direct
0.000 0.000 0.000
0.000 0.500 0.000
0.000 0.000 0.500
0.500 0.000 0.000
0.500 0.500 0.500
```

Computed properties:
ΔE to the lowest computed polymorph: 273 meV/atom
D(E_F): 3.17 states/eV per cell



Entry 7:
# CoSeF

A geometry-optimized CoSeF structure (GGA+U, Alexandria).

```
CoSeF
1.0
5.596 0.000 0.000
0.000 3.211 0.000
0.000 -1.606 2.781
Se Co F
1 1 1
Direct
0.444 0.333 0.667
0.686 0.000 0.000
0.870 0.667 0.333
```

Computed properties:
ΔE to the lowest computed polymorph: 49 meV/atom



Entry 8:
# CoSeF3

A geometry-optimized CoSeF3 structure (GGA+U, Alexandria).

```
CoSeF3
1.0
-1.168 0.069 -4.254
-1.433 -4.160 0.326
-4.006 1.468 1.124
Se F Co
1 3 1
Direct
0.000 0.000 0.000
0.000 0.500 0.000
0.000 0.000 0.500
0.500 0.000 0.000
0.500 0.500 0.500
```

Computed properties:
ΔE to the lowest computed polymorph: 514 meV/atom
D(E_F): 9.35 states/eV per cell



Entry 9:
# CoSe3F

A geometry-optimized CoSe3F structure (GGA+U, Alexandria).

```
CoSe3F
1.0
-3.795 -0.663 2.605
0.071 -4.530 -1.050
2.687 -0.817 3.706
Co Se F
1 3 1
Direct
0.000 0.000 0.000
0.500 0.000 0.000
0.000 0.000 0.500
0.000 0.500 0.000
0.500 0.500 0.500
```

Computed properties:
ΔE to the lowest computed polymorph: 0 meV/atom
D(E_F): 5.26 states/eV per cell



Entry 10:
# CoSeF3

A geometry-optimized CoSeF3 structure (GGA+U, Alexandria).

```
CoSeF3
1.0
-2.017 3.533 -0.044
-1.115 -0.589 3.868
3.353 1.929 1.260
F Se Co
3 1 1
Direct
0.500 0.000 0.000
0.000 0.000 0.500
0.000 0.500 0.000
0.500 0.500 0.500
0.000 0.000 0.000
```

Computed properties:
ΔE to the lowest computed polymorph: 0 meV/atom
D(E_F): 11.41 states/eV per cell



Entry 11:
# TiCoSe2F

A geometry-optimized TiCoSe2F structure (GGA+U, Alexandria).

```
TiCoSe2F
1.0
5.015 0.000 0.000
0.000 3.836 0.000
0.000 0.000 5.015
Se Ti Co F
2 1 1 1
Direct
0.000 0.000 0.500
0.500 0.000 0.000
0.000 0.000 0.000
0.500 0.500 0.500
0.000 0.500 0.000
```

Computed properties:
D(E_F): 8.47 states/eV per cell



Entry 12:
# Ti2CoSeF

A geometry-optimized Ti2CoSeF structure (GGA+U, Alexandria).

```
Ti2CoSeF
1.0
-2.479 -2.163 2.223
0.530 -3.890 -3.196
3.074 -1.332 2.131
Se Co F Ti
1 1 1 2
Direct
0.000 0.500 0.000
0.500 0.500 0.500
0.000 0.000 0.000
0.000 0.000 0.500
0.500 0.000 0.000
```

Computed properties:
D(E_F): 6.08 states/eV per cell



Entry 13:
# ZrCo2SeF

A geometry-optimized ZrCo2SeF structure (GGA+U, Alexandria).

```
ZrCo2SeF
1.0
-1.555 2.540 -3.034
0.569 -3.523 -3.242
-3.925 -1.403 0.837
Co Zr F Se
2 1 1 1
Direct
0.000 0.000 0.500
0.500 0.000 0.000
0.500 0.500 0.500
0.000 0.500 0.000
0.000 0.000 0.000
```

Computed properties:
D(E_F): 2.13 states/eV per cell



Entry 14:
# Co3SiF

A geometry-optimized Co3SiF structure (GGA+U, Alexandria).

```
Co3SiF
1.0
4.355 0.000 0.000
0.000 4.355 0.000
0.000 0.000 4.355
Co F Si
3 1 1
Direct
0.000 0.000 0.500
0.500 0.000 0.000
0.000 0.500 0.000
0.500 0.500 0.500
0.000 0.000 0.000
```

Computed properties:
ΔE to the lowest computed polymorph: 0 meV/atom
D(E_F): 5.26 states/eV per cell



Entry 15:
# Co2SiF

A geometry-optimized Co2SiF structure (GGA+U, Alexandria).

```
Co2SiF
1.0
0.349 -1.778 3.760
-1.996 -3.574 0.812
2.161 -3.544 0.440
F Co Si
1 2 1
Direct
0.000 0.000 0.000
0.750 0.750 0.750
0.250 0.250 0.250
0.500 0.500 0.500
```

Computed properties:
ΔE to the lowest computed polymorph: 236 meV/atom
D(E_F): 3.57 states/eV per cell



Entry 16:
# CoSiF2

A geometry-optimized CoSiF2 structure (GGA+U, Alexandria).

```
CoSiF2
1.0
1.619 0.000 7.808
-0.809 1.402 7.808
-0.809 -1.402 7.808
F Si Co
2 1 1
Direct
0.923 0.923 0.923
0.077 0.077 0.077
0.500 0.500 0.500
0.000 0.000 0.000
```

Computed properties:
ΔE to the lowest computed polymorph: 140 meV/atom
D(E_F): 1.20 states/eV per cell



Entry 17:
# CoSiF5

A geometry-optimized CoSiF5 structure (GGA+U, Alexandria).

```
CoSiF5
1.0
4.242 4.459 -0.270
-4.242 4.459 -0.270
0.000 3.910 6.503
F Si Co
10 2 2
Direct
0.355 0.646 0.418
0.995 0.005 0.750
0.005 0.995 0.250
0.590 0.737 0.660
0.263 0.410 0.840
0.737 0.590 0.160
0.645 0.354 0.582
0.410 0.263 0.340
0.354 0.645 0.082
0.646 0.355 0.918
0.466 0.534 0.250
0.534 0.466 0.750
0.000 0.000 0.500
0.000 0.000 0.000
```

Computed properties:
D(E_F): 1.19 states/eV per cell



Entry 18:
# Co2SiF

A geometry-optimized Co2SiF structure (GGA+U, Alexandria).

```
Co2SiF
1.0
5.909 0.000 0.000
0.000 5.909 0.000
2.954 2.954 3.188
Si F Co
2 2 4
Direct
0.000 0.000 0.000
0.750 0.250 0.500
0.500 0.500 0.000
0.250 0.750 0.500
0.157 0.625 0.250
0.375 0.407 0.750
0.593 0.125 0.250
0.875 0.843 0.750
```

Computed properties:
ΔE to the lowest computed polymorph: 0 meV/atom
D(E_F): 3.80 states/eV per cell



Entry 19:
# CoSiF2

A geometry-optimized CoSiF2 structure (GGA+U, Alexandria).

```
CoSiF2
1.0
-4.661 0.912 6.812
-4.673 -1.700 6.650
-2.693 -0.471 7.841
F Co Si
2 1 1
Direct
0.931 0.931 0.931
0.069 0.069 0.069
0.500 0.500 0.500
0.000 0.000 0.000
```

Computed properties:
ΔE to the lowest computed polymorph: 0 meV/atom
D(E_F): 4.72 states/eV per cell



Entry 20:
# CoSiF2

A geometry-optimized CoSiF2 structure (GGA+U, Alexandria).

```
CoSiF2
1.0
-2.786 -3.149 0.210
-2.164 -0.663 3.550
-4.122 0.843 0.141
F Si Co
2 1 1
Direct
0.750 0.750 0.750
0.250 0.250 0.250
0.000 0.000 0.000
0.500 0.500 0.500
```

Computed properties:
ΔE to the lowest computed polymorph: 621 meV/atom
D(E_F): 2.41 states/eV per cell



It is found that the mass density values, taken in the order of the records, are 5.1, 5.1, 6.0, 6.8, 5.1, 5.2, 5.2, 3.8, 5.2, 4.8, 4.9, 5.3, 5.8, 4.5, 5.3, 3.9, 2.4, 4.9, 4.3, 3.9 g/cm³.
It is found that the E_tot values, taken in the order of the records, are -18.6, -25.8, -19.9, -14.5, -15.5, -14.2, -12.7, -15.8, -15.6, -18.4, -26.2, -27.6, -22.6, -19.3, -16.9, -17.5, -73.2, -35.7, -18.1, -15.6 eV per cell.